The following is a GGA-PBE calculation of a relaxed structure of ZrHg5, from Alexandria via LeMat-Bulk.

Summary:
ΔE_f = 13 meV per atom

abc: 4.6060 4.4459 7.0111
angles: 108.49 90.00 90.00
Fractional positions:
Hg1 0.5000 0.1594 0.3188
Zr1 0.0000 0.0000 0.0000
Hg2 0.5000 0.8406 0.6812
Hg3 0.0000 0.6664 0.3329
Hg4 0.0000 0.3336 0.6671
Hg5 0.5000 0.5000 0.0000


The following is a GGA-PBE calculation of a relaxed structure of Be4RuCl, from Alexandria via LeMat-Bulk.

Summary:
energy relative to the elements, uncorrected = 348.6 meV per atom

abc: 4.4797 4.4797 4.4797
angles: 60.00 60.00 60.00
Fractional positions:
Cl1 0.7500 0.7500 0.7500
Be1 0.3719 0.3719 0.3719
Be2 0.3719 0.3719 0.8844
Ru1 0.0000 0.0000 0.0000
Be3 0.8844 0.3719 0.3719
Be4 0.3719 0.8844 0.3719